1.
# BaLa3Os | the Alexandria database | PBE | relaxed
# SG   P6_3/mmc (194)
# Crystal system   hexagonal
# E_tot   -5.380 eV per atom
# Formation enthalpy at 0 K   0.21 eV per atom
# E above lowest polymorph   297.0 meV per atom
data_BaLa3Os
_chemical_formula_sum 'Ba2 La6 Os2'
_space_group_name_H-M_alt 'P 1'
_space_group_IT_number 1
_cell_length_a 5.656
_cell_length_b 5.656
_cell_length_c 11.432
_cell_angle_alpha 90.00
_cell_angle_beta 90.00
_cell_angle_gamma 120.00
loop_
_space_group_symop_operation_xyz
'x,y,z'
loop_
_atom_site_label
_atom_site_fract_x
_atom_site_fract_y
_atom_site_fract_z
Ba1 0.333 0.667 0.250
Ba2 0.667 0.333 0.750
La1 0.000 0.000 0.250
La2 0.000 0.000 0.750
La3 0.333 0.667 0.574
La4 0.333 0.667 0.926
La5 0.667 0.333 0.074
La6 0.667 0.333 0.426
Os1 0.000 0.000 0.000
Os2 0.000 0.000 0.500

=====

2.
# BaLa3Os | the Alexandria database | PBE | relaxed
# SG   R-3m (166)
# Crystal system   trigonal
# E_tot   -5.545 eV per atom
# Formation enthalpy at 0 K   0.04 eV per atom
# E above lowest polymorph   131.7 meV per atom
data_BaLa3Os
_chemical_formula_sum 'Ba2 La6 Os2'
_space_group_name_H-M_alt 'P 1'
_space_group_IT_number 1
_cell_length_a 8.357
_cell_length_b 8.357
_cell_length_c 8.357
_cell_angle_alpha 56.46
_cell_angle_beta 56.46
_cell_angle_gamma 56.46
loop_
_space_group_symop_operation_xyz
'x,y,z'
loop_
_atom_site_label
_atom_site_fract_x
_atom_site_fract_y
_atom_site_fract_z
Ba1 0.090 0.090 0.090
Ba2 0.910 0.910 0.910
La1 0.087 0.583 0.583
La2 0.417 0.417 0.913
La3 0.417 0.913 0.417
La4 0.583 0.087 0.583
La5 0.583 0.583 0.087
La6 0.913 0.417 0.417
Os1 0.331 0.331 0.331
Os2 0.669 0.669 0.669

=====

3.
# BaLa3Os | the Alexandria database | PBE | relaxed
# SG   Pmmn (59)
# Crystal system   orthorhombic
# E_tot   -5.596 eV per atom
# Formation enthalpy at 0 K   -0.01 eV per atom
# E above lowest polymorph   80.8 meV per atom
data_BaLa3Os
_chemical_formula_sum 'Ba2 La6 Os2'
_space_group_name_H-M_alt 'P 1'
_space_group_IT_number 1
_cell_length_a 5.554
_cell_length_b 7.587
_cell_length_c 8.186
_cell_angle_alpha 90.00
_cell_angle_beta 90.00
_cell_angle_gamma 90.00
loop_
_space_group_symop_operation_xyz
'x,y,z'
loop_
_atom_site_label
_atom_site_fract_x
_atom_site_fract_y
_atom_site_fract_z
Ba1 0.250 0.250 0.209
Ba2 0.750 0.750 0.791
La1 0.250 0.025 0.650
La2 0.250 0.475 0.650
La3 0.250 0.750 0.097
La4 0.750 0.250 0.903
La5 0.750 0.525 0.350
La6 0.750 0.975 0.350
Os1 0.250 0.750 0.417
Os2 0.750 0.250 0.583

=====

4.
# BaLa3Os | the Alexandria database | PBE | relaxed
# SG   Pm-3m (221)
# Crystal system   cubic
# E_tot   -3.815 eV per atom
# Formation enthalpy at 0 K   1.77 eV per atom
# E above lowest polymorph   1862.3 meV per atom
data_BaLa3Os
_chemical_formula_sum 'Ba1 La3 Os1'
_space_group_name_H-M_alt 'P 1'
_space_group_IT_number 1
_cell_length_a 5.686
_cell_length_b 5.686
_cell_length_c 5.686
_cell_angle_alpha 90.00
_cell_angle_beta 90.00
_cell_angle_gamma 90.00
loop_
_space_group_symop_operation_xyz
'x,y,z'
loop_
_atom_site_label
_atom_site_fract_x
_atom_site_fract_y
_atom_site_fract_z
Ba1 0.000 0.000 0.000
La1 0.000 0.000 0.500
La2 0.000 0.500 0.000
La3 0.500 0.000 0.000
Os1 0.500 0.500 0.500

=====

5.
# BaLaOs4 | the Alexandria database | PBE | relaxed
# SG   F-43m (216)
# Crystal system   cubic
# E_tot   -8.230 eV per atom
# Formation enthalpy at 0 K   0.40 eV per atom
data_BaLaOs4
_chemical_formula_sum 'Ba1 La1 Os4'
_space_group_name_H-M_alt 'P 1'
_space_group_IT_number 1
_cell_length_a 5.540
_cell_length_b 5.540
_cell_length_c 5.540
_cell_angle_alpha 60.00
_cell_angle_beta 60.00
_cell_angle_gamma 60.00
loop_
_space_group_symop_operation_xyz
'x,y,z'
loop_
_atom_site_label
_atom_site_fract_x
_atom_site_fract_y
_atom_site_fract_z
Ba1 0.000 0.000 0.000
La1 0.750 0.750 0.750
Os1 0.375 0.375 0.375
Os2 0.375 0.375 0.874
Os3 0.375 0.874 0.375
Os4 0.874 0.375 0.375

=====

6.
# BaLa3Os | the Alexandria database | PBE | relaxed
# SG   I-4m2 (119)
# Crystal system   tetragonal
# E_tot   -5.333 eV per atom
# Formation enthalpy at 0 K   0.25 eV per atom
# E above lowest polymorph   344.2 meV per atom
data_BaLa3Os
_chemical_formula_sum 'Ba2 La6 Os2'
_space_group_name_H-M_alt 'P 1'
_space_group_IT_number 1
_cell_length_a 10.533
_cell_length_b 10.533
_cell_length_c 10.533
_cell_angle_alpha 144.43
_cell_angle_beta 144.43
_cell_angle_gamma 51.18
loop_
_space_group_symop_operation_xyz
'x,y,z'
loop_
_atom_site_label
_atom_site_fract_x
_atom_site_fract_y
_atom_site_fract_z
Ba1 0.191 0.191 0.000
Ba2 0.809 0.809 0.000
La1 0.027 0.527 0.500
La2 0.123 0.372 0.751
La3 0.473 0.973 0.500
La4 0.621 0.372 0.249
La5 0.628 0.379 0.751
La6 0.628 0.877 0.249
Os1 0.500 0.500 0.000
Os2 0.750 0.250 0.500

=====

7.
# BaLa3Os | the Alexandria database | PBE | relaxed
# SG   P2_1/c (14)
# Crystal system   monoclinic
# E_tot   -5.508 eV per atom
# Formation enthalpy at 0 K   0.08 eV per atom
# E above lowest polymorph   168.7 meV per atom
data_BaLa3Os
_chemical_formula_sum 'Ba4 La12 Os4'
_space_group_name_H-M_alt 'P 1'
_space_group_IT_number 1
_cell_length_a 10.557
_cell_length_b 6.877
_cell_length_c 11.364
_cell_angle_alpha 90.00
_cell_angle_beta 118.08
_cell_angle_gamma 90.00
loop_
_space_group_symop_operation_xyz
'x,y,z'
loop_
_atom_site_label
_atom_site_fract_x
_atom_site_fract_y
_atom_site_fract_z
Ba1 0.234 0.051 0.489
Ba2 0.234 0.449 0.989
Ba3 0.766 0.551 0.011
Ba4 0.766 0.949 0.511
La1 0.001 0.159 0.127
La2 0.001 0.341 0.627
La3 0.318 0.509 0.351
La4 0.318 0.991 0.851
La5 0.361 0.547 0.715
La6 0.361 0.953 0.215
La7 0.639 0.047 0.785
La8 0.639 0.453 0.285
La9 0.682 0.009 0.149
La10 0.682 0.491 0.649
La11 0.999 0.659 0.373
La12 0.999 0.841 0.873
Os1 0.128 0.736 0.681
Os2 0.128 0.764 0.181
Os3 0.872 0.236 0.819
Os4 0.872 0.264 0.319

=====

8.
# BaLa3Os | the Alexandria database | PBE | relaxed
# SG   R3m (160)
# Crystal system   trigonal
# E_tot   -5.317 eV per atom
# Formation enthalpy at 0 K   0.27 eV per atom
# E above lowest polymorph   359.8 meV per atom
data_BaLa3Os
_chemical_formula_sum 'Ba1 La3 Os1'
_space_group_name_H-M_alt 'P 1'
_space_group_IT_number 1
_cell_length_a 5.774
_cell_length_b 5.774
_cell_length_c 5.774
_cell_angle_alpha 83.24
_cell_angle_beta 83.24
_cell_angle_gamma 83.24
loop_
_space_group_symop_operation_xyz
'x,y,z'
loop_
_atom_site_label
_atom_site_fract_x
_atom_site_fract_y
_atom_site_fract_z
Ba1 0.000 0.000 0.000
La1 0.091 0.571 0.571
La2 0.571 0.091 0.571
La3 0.571 0.571 0.091
Os1 0.268 0.268 0.268

=====

9.
# BaLa3Os | the Alexandria database | PBE | relaxed
# SG   C2/m (12)
# Crystal system   monoclinic
# E_tot   -5.629 eV per atom
# Formation enthalpy at 0 K   -0.04 eV per atom
# E above lowest polymorph   47.8 meV per atom
data_BaLa3Os
_chemical_formula_sum 'Ba2 La6 Os2'
_space_group_name_H-M_alt 'P 1'
_space_group_IT_number 1
_cell_length_a 7.701
_cell_length_b 7.701
_cell_length_c 8.081
_cell_angle_alpha 100.80
_cell_angle_beta 100.80
_cell_angle_gamma 120.30
loop_
_space_group_symop_operation_xyz
'x,y,z'
loop_
_atom_site_label
_atom_site_fract_x
_atom_site_fract_y
_atom_site_fract_z
Ba1 0.223 0.223 0.425
Ba2 0.777 0.777 0.575
La1 0.209 0.658 0.225
La2 0.232 0.232 0.937
La3 0.342 0.791 0.775
La4 0.658 0.209 0.225
La5 0.768 0.768 0.063
La6 0.791 0.342 0.775
Os1 0.149 0.851 0.000
Os2 0.851 0.149 0.000

=====

10.
# BaLa3Os | the Alexandria database | PBE | relaxed
# SG   Pmma (51)
# Crystal system   orthorhombic
# E_tot   -5.677 eV per atom
# Formation enthalpy at 0 K   -0.09 eV per atom
# E above lowest polymorph   0.0 meV per atom
data_BaLa3Os
_chemical_formula_sum 'Ba2 La6 Os2'
_space_group_name_H-M_alt 'P 1'
_space_group_IT_number 1
_cell_length_a 6.386
_cell_length_b 8.473
_cell_length_c 7.127
_cell_angle_alpha 90.00
_cell_angle_beta 90.00
_cell_angle_gamma 90.00
loop_
_space_group_symop_operation_xyz
'x,y,z'
loop_
_atom_site_label
_atom_site_fract_x
_atom_site_fract_y
_atom_site_fract_z
Ba1 0.250 0.000 0.181
Ba2 0.750 0.000 0.819
La1 0.250 0.259 0.667
La2 0.250 0.500 0.166
La3 0.250 0.741 0.667
La4 0.750 0.259 0.333
La5 0.750 0.500 0.834
La6 0.750 0.741 0.333
Os1 0.000 0.500 0.500
Os2 0.500 0.500 0.500

=====

11.
# BaLa3Os | the Alexandria database | PBE | relaxed
# SG   P4mm (99)
# Crystal system   tetragonal
# E_tot   -5.270 eV per atom
# Formation enthalpy at 0 K   0.32 eV per atom
# E above lowest polymorph   406.5 meV per atom
data_BaLa3Os
_chemical_formula_sum 'Ba1 La3 Os1'
_space_group_name_H-M_alt 'P 1'
_space_group_IT_number 1
_cell_length_a 4.423
_cell_length_b 4.423
_cell_length_c 10.349
_cell_angle_alpha 90.00
_cell_angle_beta 90.00
_cell_angle_gamma 90.00
loop_
_space_group_symop_operation_xyz
'x,y,z'
loop_
_atom_site_label
_atom_site_fract_x
_atom_site_fract_y
_atom_site_fract_z
Ba1 0.000 0.000 0.000
La1 0.000 0.000 0.618
La2 0.000 0.500 0.346
La3 0.500 0.000 0.346
Os1 0.500 0.500 0.543

=====

12.
# BaLa3Os | the Alexandria database | PBE | relaxed
# SG   Cmcm (63)
# Crystal system   orthorhombic
# E_tot   -5.674 eV per atom
# Formation enthalpy at 0 K   -0.09 eV per atom
# E above lowest polymorph   2.9 meV per atom
data_BaLa3Os
_chemical_formula_sum 'Ba2 La6 Os2'
_space_group_name_H-M_alt 'P 1'
_space_group_IT_number 1
_cell_length_a 8.374
_cell_length_b 8.374
_cell_length_c 6.414
_cell_angle_alpha 90.00
_cell_angle_beta 90.00
_cell_angle_gamma 120.07
loop_
_space_group_symop_operation_xyz
'x,y,z'
loop_
_atom_site_label
_atom_site_fract_x
_atom_site_fract_y
_atom_site_fract_z
Ba1 0.167 0.833 0.750
Ba2 0.833 0.167 0.250
La1 0.174 0.336 0.750
La2 0.336 0.174 0.250
La3 0.337 0.663 0.250
La4 0.663 0.337 0.750
La5 0.664 0.826 0.750
La6 0.826 0.664 0.250
Os1 0.500 0.500 0.000
Os2 0.500 0.500 0.500

=====

Q: Among the records above, which one has the highest E_tot?
A: number 4

=====

Q: E_tot of number 12 (BaLa3Os)?
A: -5.674 eV per atom

=====

What did the seventh record say?
# BaLa3Os | the Alexandria database | PBE | relaxed
# SG   P2_1/c (14)
# Crystal system   monoclinic
# E_tot   -5.508 eV per atom
# Formation enthalpy at 0 K   0.08 eV per atom
# E above lowest polymorph   168.7 meV per atom
data_BaLa3Os
_chemical_formula_sum 'Ba4 La12 Os4'
_space_group_name_H-M_alt 'P 1'
_space_group_IT_number 1
_cell_length_a 10.557
_cell_length_b 6.877
_cell_length_c 11.364
_cell_angle_alpha 90.00
_cell_angle_beta 118.08
_cell_angle_gamma 90.00
loop_
_space_group_symop_operation_xyz
'x,y,z'
loop_
_atom_site_label
_atom_site_fract_x
_atom_site_fract_y
_atom_site_fract_z
Ba1 0.234 0.051 0.489
Ba2 0.234 0.449 0.989
Ba3 0.766 0.551 0.011
Ba4 0.766 0.949 0.511
La1 0.001 0.159 0.127
La2 0.001 0.341 0.627
La3 0.318 0.509 0.351
La4 0.318 0.991 0.851
La5 0.361 0.547 0.715
La6 0.361 0.953 0.215
La7 0.639 0.047 0.785
La8 0.639 0.453 0.285
La9 0.682 0.009 0.149
La10 0.682 0.491 0.649
La11 0.999 0.659 0.373
La12 0.999 0.841 0.873
Os1 0.128 0.736 0.681
Os2 0.128 0.764 0.181
Os3 0.872 0.236 0.819
Os4 0.872 0.264 0.319